# 1
DFT (PBE) results for a relaxed structure of PdPb2Br.

It has space group I-42d (No. 122), with a = 6.3368 Å, b = 6.3368 Å, c = 14.6042 Å, α = 90.00°, β = 90.00° and γ = 90.00°. The distinct sites, in fractional coordinates, are Pd at (0.0000, 0.0000, 0.0000), Pb at (0.1813, 0.2500, 0.1250) and Br at (0.0000, 0.0000, 0.5000).

The distance to the lowest polymorph of the same formula comes out at 197 meV per atom.

# 2
DFT (PBE) results for a relaxed structure of PdPbBr.

It has space group P2_1/m (No. 11), with a = 5.7216 Å, b = 4.3641 Å, c = 6.4618 Å, α = 90.00°, β = 92.20° and γ = 90.00°. The distinct sites, in fractional coordinates, are Pd at (0.2411, 0.2500, 0.1580), Pb at (0.2609, 0.7500, 0.8902) and Br at (0.2439, 0.7500, 0.3901).

Formation energy from raw total energies: -0.1079; -0.3032 (eV per atom)
E_tot: -3.678; -3.828 (eV per atom)